w | Below is an optimized crystal structure of Rb2YCu, with properties calculated at the PBE level.

abc: 6.293 6.293 6.293
angles: 60.00 60.00 60.00
Site moments in Bohr magnetons follow the coordinates.
Fractional coordinates of all 4 atoms:
Y: 0.500 0.500 0.500  0.62
Rb: 0.250 0.250 0.250  0.03
Cu: 0.000 0.000 0.000  -0.01
Rb: 0.750 0.750 0.750  0.03

Properties
space-group type	Fm-3m
magnetization	1.63	μB/cell

x | Below is an optimized crystal structure of Rb2YCu, with properties calculated at the PBE level.

abc: 12.586 12.586 9.308
angles: 47.46 47.46 90.00
Fractional coordinates of all 8 atoms:
Rb: 0.264 0.625 0.250
Y: 0.000 0.000 0.000
Rb: 0.486 0.125 0.250
Y: 0.750 0.250 0.500
Rb: 0.375 0.514 0.750
Rb: 0.875 0.736 0.750
Cu: 0.250 0.750 0.500
Cu: 0.500 0.500 0.000

Properties
space-group type	I-42d
magnetization	0.00	μB/cell

Short version: x is the most stable of them.

w | Below is an optimized crystal structure of RbYCu3, with properties calculated at the PBE level.

abc: 5.431 5.431 5.431
angles: 90.00 90.00 90.00
Fractional coordinates of all 5 atoms:
Rb: 0.500 0.500 0.500
Cu: 0.000 0.000 0.500
Cu: 0.500 0.000 0.000
Cu: 0.000 0.500 0.000
Y: 0.000 0.000 0.000

Properties
space-group type	Pm-3m
magnetization	0.00	μB/cell

x | Below is an optimized crystal structure of RbYCu3, with properties calculated at the PBE level.

abc: 5.170 5.170 5.170
angles: 90.00 90.00 90.00
Fractional coordinates of all 5 atoms:
Y: 0.500 0.500 0.500
Cu: 0.000 0.500 0.000
Cu: 0.500 0.000 0.000
Rb: 0.000 0.000 0.000
Cu: 0.000 0.000 0.500

Properties
space-group type	Pm-3m
magnetization	0.00	μB/cell

Short version: w is the most stable of them.

w | Below is an optimized crystal structure of RbZn2Cu2, with properties calculated at the PBE level.

abc: 8.148 8.148 2.802
angles: 90.00 90.00 90.00
Fractional coordinates of all 10 atoms:
Cu: 0.341 0.841 0.000
Zn: 0.121 0.621 0.500
Cu: 0.841 0.659 0.000
Zn: 0.621 0.879 0.500
Rb: 0.000 0.000 0.000
Cu: 0.659 0.159 0.000
Zn: 0.379 0.121 0.500
Zn: 0.879 0.379 0.500
Rb: 0.500 0.500 0.000
Cu: 0.159 0.341 0.000

Properties
space-group type	P4/mbm
magnetization	0.00	μB/cell

x | Below is an optimized crystal structure of RbZn2Cu2, with properties calculated at the PBE level.

abc: 4.544 4.544 6.066
angles: 68.00 68.00 90.00
Fractional coordinates of all 5 atoms:
Zn: 0.250 0.750 0.500
Zn: 0.750 0.250 0.500
Cu: 0.629 0.629 0.743
Rb: 0.000 0.000 0.000
Cu: 0.371 0.371 0.257

Properties
space-group type	I4/mmm
magnetization	0.00	μB/cell

Short version: x is the most stable of them.

w | Below is an optimized crystal structure of RbZr3Cu, with properties calculated at the PBE level.

abc: 5.011 5.011 5.011
angles: 90.00 90.00 90.00
Fractional coordinates of all 5 atoms:
Rb: 0.000 0.000 0.000
Zr: 0.000 0.000 0.500
Cu: 0.500 0.500 0.500
Zr: 0.500 0.000 0.000
Zr: 0.000 0.500 0.000

Properties
space-group type	Pm-3m
magnetization	0.00	μB/cell

x | Below is an optimized crystal structure of RbZr3Cu, with properties calculated at the PBE level.

abc: 5.151 5.151 5.151
angles: 90.00 90.00 90.00
Fractional coordinates of all 5 atoms:
Zr: 0.000 0.000 0.500
Rb: 0.500 0.500 0.500
Zr: 0.000 0.500 0.000
Zr: 0.500 0.000 0.000
Cu: 0.000 0.000 0.000

Properties
space-group type	Pm-3m
magnetization	0.00	μB/cell

Short version: x is the most stable of them.